# 1
An optimized crystal structure of GdZr5. Source: Alexandria via LeMat-Bulk, functional PBE.

E (eV per atom): -9.3765
Density (g cm⁻³): 7.0

Cell: 4.6025 13.7840 4.5831 Å, 90.00 90.00 90.00°
Last column: nearest neighbours and their distance in Å.
Space group Cmmm (No. 65)
Symmetry-distinct sites (fractional):
Gd (0.0000, 0.0000, 0.0000) [2 per cell]  12 Zr 3.25-3.28
Zr (0.0000, 0.1704, 0.5000) [4 per cell]  10 Zr 3.18-3.29, 2 Gd 3.28
Zr (0.0000, 0.3304, 0.0000) [4 per cell]  10 Zr 3.18-3.27, 2 Gd 3.28
Zr (0.0000, 0.5000, 0.5000) [2 per cell]  4 Gd 3.25, 8 Zr 3.27-3.29



# 2
An optimized crystal structure of HfAlS4. Source: Alexandria via LeMat-Bulk, functional PBE.

E (eV per atom): -6.0769
Formation energy without anion corrections (meV/atom): -1043
Density (g cm⁻³): 4.3

Cell: 5.9143 3.5499 6.2311 Å, 90.00 96.95 90.00°
Last column: nearest neighbours and their distance in Å.
Space group P2/m (No. 10)
Symmetry-distinct sites (fractional):
Hf (0.0000, 0.0000, 0.0000) [1 per cell]  6 S 2.53-2.55
Al (0.0000, 0.5000, 0.5000) [1 per cell]  6 S 2.41-2.51
S (0.2257, 0.0000, 0.6772) [2 per cell]  2 Al 2.41, 1 Hf 2.55
S (0.2469, 0.5000, 0.1989) [2 per cell]  1 Al 2.51, 2 Hf 2.53



# 3
An optimized crystal structure of BaPtSe. Source: Alexandria via LeMat-Bulk, functional PBE.

E (eV per atom): -4.9502
Formation energy without anion corrections (meV/atom): -1134
Density (g cm⁻³): 7.6

Cell: 5.3649 6.2667 6.2712 Å, 95.27 110.25 110.42°
Last column: nearest neighbours and their distance in Å.
Space group P1 (No. 1)
Symmetry-distinct sites (fractional):
Ba (0.0000, 0.0000, 0.0000) [1 per cell]  4 Pt 3.21-3.46, 3 Se 3.36-3.43
Ba (0.0023, 0.4339, 0.5678) [1 per cell]  4 Pt 3.21-3.46, 3 Se 3.36-3.43
Pt (0.1477, 0.5507, 0.1178) [1 per cell]  1 Se 2.44, 1 Pt 2.60
Pt (0.6071, 0.4646, 0.0323) [1 per cell]  2 Se 2.47-2.48, 1 Pt 2.60
Se (0.4380, 0.1314, 0.6987) [1 per cell]  1 Pt 2.47
Se (0.6678, 0.7756, 0.3434) [1 per cell]  2 Pt 2.44-2.48